## Sm4AlZn2In (PBE)

Data for crystalline Sm4AlZn2In at its relaxed geometry.

```
8
Lattice="5.2500 0.0000 0.0000 2.6250 4.5467 0.0000 2.6250 1.5156 8.5850" Properties=species:S:1:pos:R:3 pbc="T T T"
Sm 5.2500 3.0311 7.4321
Sm 7.8750 4.5467 3.2994
Sm 2.6250 1.5156 5.2856
Sm 5.2500 3.0311 1.1529
Al 5.2500 3.0311 4.2925
Zn 7.8750 4.5467 6.4404
Zn 2.6250 1.5156 2.1446
In 0.0000 0.0000 0.0000
```

Summary:
calculated formation energy = -0.37 eV/atom
magnetic moment = 0.00 μB per cell
symmetry = R-3m, No. 166